(1)
This record from Alexandria describes a relaxed structure of NaInRh3. The functional is GGA-PBE.

Calculated values
Its crystal system is cubic. As for the space-group type: Pm-3m (221).

The structure in POSCAR format:
```
NaInRh3
1.0
4.967 0.000 0.000
0.000 4.967 0.000
0.000 0.000 4.967
Rh Na In
3 1 1
Cartesian
0.000 0.000 2.484 Rh
2.484 0.000 0.000 Rh
0.000 2.484 0.000 Rh
2.484 2.484 2.484 Na
0.000 0.000 0.000 In
```

=====

(2)
This record from Alexandria describes a relaxed structure of NaIn2Rh2. The functional is GGA-PBE.

Calculated values
Its crystal system is tetragonal. As for the space-group type: P4/mbm (127).

The structure in POSCAR format:
```
NaIn2Rh2
1.0
7.853 0.000 0.000
0.000 7.853 0.000
0.000 0.000 3.072
Na Rh In
2 4 4
Cartesian
0.000 0.000 0.000 Na
3.927 3.927 0.000 Na
6.691 2.764 1.536 Rh
1.162 5.089 1.536 Rh
5.089 6.691 1.536 Rh
2.764 1.162 1.536 Rh
6.699 5.081 0.000 In
1.155 2.772 0.000 In
2.772 6.699 0.000 In
5.081 1.155 0.000 In
```

=====

Calculated formation enthalpy at 0 K (eV per atom), listed in the same order as above: 1.0574; -0.2838
Calculated offset from the most stable computed form (eV per atom), listed in the same order as above: 0.000; 0.031
Calculated total energy (eV per atom), listed in the same order as above: -4.17; -4.58